Computed, not measured: BeCoTe2 after structural relaxation at the GGA-PBE level of DFT.

E_tot ... -3.28 eV per atom
Mass density ... 6.98 g/cm3
Total magnetization ... 4.69 μB per cell

Lattice parameters (Å, degrees): 6.750 6.750 6.750 90.00 90.00 90.00
Space group F-43m (No. 216)
Asymmetric unit:
Be: 0.000 0.000 0.000 x4
Co: 0.250 0.250 0.250 x4
Te: 0.000 0.000 0.500 x4
Te: 0.250 0.250 0.750 x4